(1)
UGaPt | GGA-PBE | relaxed

The structure in POSCAR format:
```
UGaPt
1.0
0.0000 3.2833 3.2833
3.2833 0.0000 3.2833
3.2833 3.2833 0.0000
U Ga Pt
1 1 1
direct
0.0000 0.0000 0.0000 U
0.7500 0.7500 0.7500 Ga
0.2500 0.2500 0.2500 Pt
```

Properties
E_tot: -6.647 eV per atom
Calculated volume: 23.6 Å³/atom

(2)
UGaPt | GGA-PBE | relaxed

The structure in POSCAR format:
```
UGaPt
1.0
6.6388 0.0000 0.0000
-3.3194 5.7494 0.0000
0.0000 0.0000 4.5130
U Ga Pt
3 3 3
direct
0.0000 0.5325 0.0000 U
0.4675 0.4675 0.0000 U
0.5325 0.0000 0.0000 U
0.0000 0.0000 0.0000 Ga
0.3333 0.6667 0.5000 Ga
0.6667 0.3333 0.5000 Ga
0.0000 0.2433 0.5000 Pt
0.2433 0.0000 0.5000 Pt
0.7567 0.7567 0.5000 Pt
```

Properties
E_tot: -7.268 eV per atom
Calculated volume: 19.1 Å³/atom

(3)
GaPt2W | GGA-PBE | relaxed

The structure in POSCAR format:
```
GaPt2W
1.0
0.0000 3.1424 3.1424
3.1424 0.0000 3.1424
3.1424 3.1424 0.0000
Ga Pt W
1 2 1
direct
0.0000 0.0000 0.0000 Ga
0.5000 0.5000 0.5000 Pt
0.7500 0.7500 0.7500 Pt
0.2500 0.2500 0.2500 W
```

Properties
E_tot: -7.087 eV per atom
Calculated volume: 15.5 Å³/atom

(4)
GaPt2W | GGA-PBE | relaxed

The structure in POSCAR format:
```
GaPt2W
1.0
2.8781 0.0000 0.0000
-1.4391 2.4925 0.0000
0.0000 0.0000 17.3704
Ga Pt W
2 4 2
direct
0.3333 0.6667 0.2500 Ga
0.6667 0.3333 0.7500 Ga
0.3333 0.6667 0.6293 Pt
0.3333 0.6667 0.8707 Pt
0.6667 0.3333 0.1293 Pt
0.6667 0.3333 0.3707 Pt
0.0000 0.0000 0.0000 W
0.0000 0.0000 0.5000 W
```

Properties
E_tot: -7.264 eV per atom
Calculated volume: 15.6 Å³/atom

(5)
GaPtW | GGA-PBE | relaxed

The structure in POSCAR format:
```
GaPtW
1.0
0.0000 3.0273 3.0273
3.0273 0.0000 3.0273
3.0273 3.0273 0.0000
Ga Pt W
1 1 1
direct
0.0000 0.0000 0.0000 Ga
0.5000 0.5000 0.5000 Pt
0.2500 0.2500 0.2500 W
```

Properties
E_tot: -6.997 eV per atom
Calculated volume: 18.5 Å³/atom

(6)
Y2GaPt | GGA-PBE | relaxed

The structure in POSCAR format:
```
Y2GaPt
1.0
0.0000 3.4621 3.4621
3.4621 0.0000 3.4621
3.4621 3.4621 0.0000
Y Ga Pt
2 1 1
direct
0.0000 0.0000 0.0000 Y
0.2500 0.2500 0.2500 Y
0.5000 0.5000 0.5000 Ga
0.7500 0.7500 0.7500 Pt
```

Properties
E_tot: -5.983 eV per atom
Calculated volume: 20.7 Å³/atom

(7)
YGa2Pt | GGA-PBE | relaxed

The structure in POSCAR format:
```
YGa2Pt
1.0
0.0000 3.3473 3.3473
3.3473 0.0000 3.3473
3.3473 3.3473 0.0000
Y Ga Pt
1 2 1
direct
0.0000 0.0000 0.0000 Y
0.2500 0.2500 0.2500 Ga
0.5000 0.5000 0.5000 Ga
0.7500 0.7500 0.7500 Pt
```

Properties
E_tot: -5.304 eV per atom
Calculated volume: 18.8 Å³/atom

(8)
Y2GaPt2 | GGA-PBE | relaxed

The structure in POSCAR format:
```
Y2GaPt2
1.0
-1.9059 1.9059 7.9969
1.9059 -1.9059 7.9969
1.9059 1.9059 -7.9969
Y Ga Pt
2 1 2
direct
0.1139 0.1139 0.0000 Y
0.8861 0.8861 0.0000 Y
0.5000 0.5000 0.0000 Ga
0.2500 0.7500 0.5000 Pt
0.7500 0.2500 0.5000 Pt
```

Properties
E_tot: -6.322 eV per atom
Calculated volume: 23.2 Å³/atom

(9)
Y2Ga2Pt | GGA-PBE | relaxed

The structure in POSCAR format:
```
Y2Ga2Pt
1.0
-1.9017 1.9017 7.2647
1.9017 -1.9017 7.2647
1.9017 1.9017 -7.2647
Y Ga Pt
2 2 1
direct
0.0981 0.0981 0.0000 Y
0.9019 0.9019 0.0000 Y
0.2500 0.7500 0.5000 Ga
0.7500 0.2500 0.5000 Ga
0.5000 0.5000 0.0000 Pt
```

Properties
E_tot: -5.358 eV per atom
Calculated volume: 21.0 Å³/atom

(10)
Y2GaPt2 | GGA-PBE | relaxed

The structure in POSCAR format:
```
Y2GaPt2
1.0
-2.7668 2.7668 3.8326
2.7668 -2.7668 3.8326
2.7668 2.7668 -3.8326
Y Ga Pt
2 1 2
direct
0.2500 0.7500 0.5000 Y
0.7500 0.2500 0.5000 Y
0.0000 0.0000 0.0000 Ga
0.3318 0.3318 0.0000 Pt
0.6682 0.6682 0.0000 Pt
```

Properties
E_tot: -6.472 eV per atom
Calculated volume: 23.5 Å³/atom

(11)
YZnGa2Pt4 | GGA-PBE | relaxed

The structure in POSCAR format:
```
YZnGa2Pt4
1.0
4.3371 0.0000 0.0000
0.0000 4.3371 0.0000
0.0000 0.0000 7.0344
Y Zn Ga Pt
1 1 2 4
direct
0.0000 0.0000 0.0000 Y
0.5000 0.5000 0.5000 Zn
0.0000 0.0000 0.5000 Ga
0.5000 0.5000 0.0000 Ga
0.0000 0.5000 0.2778 Pt
0.0000 0.5000 0.7222 Pt
0.5000 0.0000 0.2778 Pt
0.5000 0.0000 0.7222 Pt
```

Properties
E_tot: -5.438 eV per atom
Calculated volume: 16.5 Å³/atom

(12)
ZnGa2Pt | GGA-PBE | relaxed

The structure in POSCAR format:
```
ZnGa2Pt
1.0
0.0000 3.1781 3.1781
3.1781 0.0000 3.1781
3.1781 3.1781 0.0000
Zn Ga Pt
1 2 1
direct
0.0000 0.0000 0.0000 Zn
0.2500 0.2500 0.2500 Ga
0.5000 0.5000 0.5000 Ga
0.7500 0.7500 0.7500 Pt
```

Properties
E_tot: -3.514 eV per atom
Calculated volume: 16.1 Å³/atom